PrZn2Ge2 | Alexandria | PBE | relaxed; calculated volume = 404.32 Å³/cell; E above lowest polymorph = 13 meV/atom; D(E_F) = 1.83 states/eV/f.u.; raw total energy = -73.41 eV/cell; ΔE_f = -0.36 eV/atom; space-group type = Pnma, No. 62
1.0
8.066 0.000 0.000
0.000 4.574 0.000
0.000 0.000 10.958
Pr Zn Ge
4 8 8
Direct
0.239 0.250 0.179
0.261 0.750 0.679
0.739 0.250 0.321
0.761 0.750 0.821
0.093 0.250 0.461
0.107 0.250 0.852
0.393 0.750 0.352
0.407 0.750 0.961
0.593 0.250 0.039
0.607 0.250 0.648
0.893 0.750 0.148
0.907 0.750 0.539
0.063 0.750 0.339
0.094 0.750 0.966
0.406 0.250 0.466
0.437 0.250 0.839
0.563 0.750 0.161
0.594 0.750 0.534
0.906 0.250 0.034
0.937 0.250 0.661

Pr4ZnGe | Alexandria | PBE | relaxed; calculated volume = 715.24 Å³/cell; D(E_F) = 6.75 states/eV/f.u.; raw total energy = -107.89 eV/cell; ΔE_f = -0.33 eV/atom; space-group type = F-43m, No. 216
1.0
0.000 7.098 7.098
7.098 0.000 7.098
7.098 7.098 0.000
Pr Zn Ge
16 4 4
Direct
0.186 0.186 0.814
0.186 0.814 0.186
0.186 0.814 0.814
0.385 0.385 0.385
0.385 0.385 0.844
0.385 0.844 0.385
0.560 0.560 0.940
0.560 0.940 0.560
0.560 0.940 0.940
0.814 0.186 0.186
0.814 0.186 0.814
0.814 0.814 0.186
0.844 0.385 0.385
0.940 0.560 0.560
0.940 0.560 0.940
0.940 0.940 0.560
0.169 0.169 0.169
0.169 0.169 0.493
0.169 0.493 0.169
0.493 0.169 0.169
0.192 0.603 0.603
0.603 0.192 0.603
0.603 0.603 0.192
0.603 0.603 0.603

PrZn3Ge3 | Alexandria | PBE | relaxed; calculated volume = 321.49 Å³/cell; D(E_F) = 2.43 states/eV/f.u.; raw total energy = -43.80 eV/cell; ΔE_f = 0.08 eV/atom; space-group type = Pm-3n, No. 223
1.0
6.851 0.000 0.000
0.000 6.851 0.000
0.000 0.000 6.851
Pr Zn Ge
2 6 6
Direct
0.000 0.000 0.000
0.500 0.500 0.500
0.000 0.250 0.500
0.000 0.750 0.500
0.250 0.500 0.000
0.500 0.000 0.250
0.500 0.000 0.750
0.750 0.500 0.000
0.000 0.500 0.250
0.000 0.500 0.750
0.250 0.000 0.500
0.500 0.250 0.000
0.500 0.750 0.000
0.750 0.000 0.500

Pr4Zn2Ge | Alexandria | PBE | relaxed; calculated volume = 196.87 Å³/cell; D(E_F) = 8.54 states/eV/f.u.; raw total energy = -28.26 eV/cell; ΔE_f = -0.28 eV/atom; space-group type = R-3m, No. 166
1.0
2.598 1.500 8.420
-2.598 1.500 8.420
0.000 -3.000 8.420
Pr Zn Ge
4 2 1
Direct
0.122 0.122 0.122
0.374 0.374 0.374
0.626 0.626 0.626
0.878 0.878 0.878
0.252 0.252 0.252
0.748 0.748 0.748
0.500 0.500 0.500

PrZnGe | Alexandria | PBE | relaxed; calculated volume = 73.35 Å³/cell; D(E_F) = 1.96 states/eV/f.u.; raw total energy = -11.31 eV/cell; ΔE_f = -0.21 eV/atom; space-group type = I4mm, No. 107
1.0
-2.087 2.087 4.209
2.087 -2.087 4.209
2.087 2.087 -4.209
Pr Zn Ge
1 1 1
Direct
0.000 0.000 0.000
0.655 0.655 0.000
0.354 0.354 0.000

Pr3Zn3Ge2 | Alexandria | PBE | relaxed; calculated volume = 383.54 Å³/cell; D(E_F) = 6.01 states/eV/f.u.; raw total energy = -63.79 eV/cell; ΔE_f = -0.56 eV/atom; space-group type = Cmcm, No. 63
1.0
2.116 -5.713 0.000
2.116 5.713 0.000
0.000 0.000 15.860
Pr Zn Ge
6 6 4
Direct
0.069 0.931 0.750
0.355 0.645 0.591
0.355 0.645 0.909
0.645 0.355 0.091
0.645 0.355 0.409
0.931 0.069 0.250
0.074 0.926 0.554
0.074 0.926 0.946
0.204 0.796 0.250
0.796 0.204 0.750
0.926 0.074 0.054
0.926 0.074 0.446
0.346 0.654 0.117
0.346 0.654 0.383
0.654 0.346 0.617
0.654 0.346 0.883

Pr2Zn2Ge3 | Alexandria | PBE | relaxed; calculated volume = 301.80 Å³/cell; D(E_F) = 2.23 states/eV/f.u.; raw total energy = -59.39 eV/cell; ΔE_f = -0.53 eV/atom; space-group type = Cmcm, No. 63
1.0
2.194 -9.893 0.000
2.194 9.893 0.000
0.000 0.000 6.952
Pr Zn Ge
4 4 6
Direct
0.044 0.956 0.750
0.161 0.839 0.250
0.839 0.161 0.750
0.956 0.044 0.250
0.315 0.685 0.057
0.315 0.685 0.443
0.685 0.315 0.557
0.685 0.315 0.943
0.212 0.788 0.750
0.436 0.564 0.568
0.436 0.564 0.932
0.564 0.436 0.068
0.564 0.436 0.432
0.788 0.212 0.250

PrZn2Ge | Alexandria | PBE | relaxed; calculated volume = 83.84 Å³/cell; E above lowest polymorph = 0 meV/atom; D(E_F) = 0.89 states/eV/f.u.; raw total energy = -13.36 eV/cell; ΔE_f = -0.35 eV/atom; space-group type = P4/mmm, No. 123
1.0
4.288 0.000 0.000
0.000 4.288 0.000
0.000 0.000 4.559
Pr Zn Ge
1 2 1
Direct
0.000 0.000 0.000
0.000 0.500 0.500
0.500 0.000 0.500
0.500 0.500 0.000